Computed, not measured: Al2CoPt after structural relaxation at the PBE level of DFT.

a = 3.621 Å, b = 3.621 Å, c = 8.219 Å
α = 90.00°, β = 90.00°, γ = 90.00°
Space group I-4m2 (No. 119)
Symmetry-distinct sites (fractional):
Al 0.000 0.000 0.000 x2
Al 0.000 0.500 0.250 x2
Co 0.000 0.000 0.500 x2
Pt 0.000 0.500 0.750 x2

***

Computed, not measured: AlCo2Pt after structural relaxation at the PBE level of DFT.

a = 3.665 Å, b = 3.665 Å, c = 7.632 Å
α = 90.00°, β = 90.00°, γ = 90.00°
Space group I4/mmm (No. 139)
Symmetry-distinct sites (fractional):
Al 0.000 0.000 0.000 x2
Co 0.000 0.500 0.250 x4
Pt 0.000 0.000 0.500 x2

***

Computed, not measured: AlCo4Pt after structural relaxation at the PBE level of DFT.

a = 6.678 Å, b = 6.678 Å, c = 6.678 Å
α = 90.00°, β = 90.00°, γ = 90.00°
Space group F-43m (No. 216)
Symmetry-distinct sites (fractional):
Al 0.000 0.000 0.000 x4
Co 0.125 0.125 0.625 x16
Pt 0.250 0.250 0.250 x4

***

Computed, not measured: Al2CoPt2 after structural relaxation at the PBE level of DFT.

a = 7.319 Å, b = 7.319 Å, c = 2.785 Å
α = 90.00°, β = 90.00°, γ = 90.00°
Space group P4/mbm (No. 127)
Symmetry-distinct sites (fractional):
Al 0.157 0.343 0.000 x4
Co 0.000 0.000 0.500 x2
Pt 0.142 0.642 0.500 x4

***

Computed, not measured: Al4CoPt2 after structural relaxation at the PBE level of DFT.

a = 4.2023 Å, b = 4.2023 Å, c = 20.4462 Å
α = 90.00°, β = 90.00°, γ = 120.00°
Space group R-3m (No. 166, hexagonal axes)
Symmetry-distinct sites (fractional):
Al 0.0000 0.0000 0.1225 x6
Al 0.0000 0.0000 0.3727 x6
Co 0.0000 0.0000 0.5000 x3
Pt 0.0000 0.0000 0.2483 x6

***

Computed, not measured: AlCoPt3 after structural relaxation at the PBE level of DFT.

a = 4.550 Å, b = 4.550 Å, c = 4.550 Å
α = 90.00°, β = 90.00°, γ = 90.00°
Space group Pm-3m (No. 221)
Symmetry-distinct sites (fractional):
Al 0.000 0.000 0.000 x1
Co 0.500 0.500 0.500 x1
Pt 0.000 0.500 0.500 x3

***

Computed, not measured: AlCoPt after structural relaxation at the PBE level of DFT.

a = 2.875 Å, b = 2.875 Å, c = 9.623 Å
α = 90.00°, β = 90.00°, γ = 90.00°
Space group I4mm (No. 107)
Symmetry-distinct sites (fractional):
Al 0.000 0.000 0.000 x2
Co 0.000 0.000 0.357 x2
Pt 0.000 0.000 0.670 x2

***

Computed, not measured: AlCo2Pt after structural relaxation at the PBE level of DFT.

a = 2.744 Å, b = 3.446 Å, c = 5.419 Å
α = 90.00°, β = 90.00°, γ = 90.00°
Space group Pmm2 (No. 25)
Symmetry-distinct sites (fractional):
Al 0.000 0.000 0.000 x1
Co 0.000 0.000 0.456 x1
Co 0.500 0.500 0.258 x1
Pt 0.500 0.500 0.747 x1

***

Number 1: E_form -639 meV per atom, mass density 9.49 g cm⁻³. Number 2: E_form -366 meV per atom, mass density 11.01 g cm⁻³. Number 3: E_form -103 meV per atom, mass density 10.21 g cm⁻³. Number 4: E_form -594 meV per atom, mass density 11.20 g cm⁻³. Number 5: E_form -896 meV per atom, mass density 8.87 g cm⁻³. Number 6: E_form 734 meV per atom, mass density 11.83 g cm⁻³. Number 7: E_form -485 meV per atom, mass density 11.73 g cm⁻³. Number 8: E_form -388 meV per atom, mass density 11.02 g cm⁻³.